No. 1
LuGa4Ni | PBE | relaxed

```
LuGa4Ni
1.0
-0.063 1.585 -3.745
-3.605 -5.150 -2.119
-6.274 2.910 3.603
Lu Ga Ni
2 8 2
Cartesian
-7.453 -1.071 -0.294
-2.490 0.416 -1.967
-4.305 -1.484 -0.532
-3.588 -2.568 -3.230
-4.209 2.869 -0.890
-6.355 1.913 0.969
-5.637 0.829 -1.729
0.000 0.000 0.000
-1.802 -2.575 -1.060
-5.733 -3.524 -1.371
-5.579 -1.400 -2.682
-4.364 0.745 0.421
```

Computed properties:
Electronic total energy, eV/atom: -4.2362
Space-group type: No. 11
ΔH_f (0 K), kJ/mol of atoms: -48.4

=====

No. 2
CaLaNdIn | PBE | relaxed

```
CaLaNdIn
1.0
-1.314 -5.433 0.984
3.199 -3.101 3.516
-2.038 -1.554 5.064
Nd La Ca In
1 1 1 1
Cartesian
-0.077 -5.044 4.782
0.000 0.000 0.000
-0.115 -7.566 7.173
-0.038 -2.522 2.391
```

Computed properties:
Electronic total energy, eV/atom: -3.8154
Space-group type: No. 216
ΔH_f (0 K), kJ/mol of atoms: -19.9

=====

No. 3
CuTc2Mo | PBE | relaxed

```
CuTc2Mo
1.0
-1.137 3.029 -2.150
0.141 -2.212 -3.190
-3.602 -0.982 0.522
Tc Mo Cu
2 1 1
Cartesian
0.000 0.000 0.000
-0.498 0.408 -2.670
-1.730 -1.597 -1.334
-2.370 1.023 -0.814
```

Computed properties:
Relative energy among the computed polymorphs, meV/atom: 0
Electronic total energy, eV/atom: -8.7670
Space-group type: No. 123
ΔH_f (0 K), kJ/mol of atoms: 14.3

=====

No. 4
MnZn13 | PBE | relaxed

```
MnZn13
1.0
6.701 0.370 -0.041
2.505 6.226 -0.041
0.955 0.684 5.203
Zn Mn
13 1
Cartesian
4.813 1.780 1.681
5.586 4.002 0.483
5.347 5.500 3.440
0.477 0.342 2.601
5.131 0.814 4.203
7.496 5.371 1.636
6.927 3.294 3.440
5.030 6.465 0.918
3.233 3.986 1.681
4.575 3.278 4.638
2.664 1.909 3.486
7.739 2.683 0.918
2.421 4.596 4.203
0.000 0.000 0.000
```

Computed properties:
Relative energy among the computed polymorphs, meV/atom: 71
Electronic total energy, eV/atom: -1.7734
Space-group type: No. 12
ΔH_f (0 K), kJ/mol of atoms: 6.2